Density functional theory data (PBE with a Hubbard U) for Fe3PbO after structural relaxation.

Calculated volume, Å³/f.u.: 83
Energy, eV/atom: -5.055
Crystal system: cubic

Geometry as CIF:
```
data_Fe3PbO
_chemical_formula_sum 'Fe3 Pb1 O1'
_space_group_name_H-M_alt 'P m -3 m'
_space_group_IT_number 221
_space_group_name_Hall '-P 4 2 3'
_cell_length_a 4.3697
_cell_length_b 4.3697
_cell_length_c 4.3697
_cell_angle_alpha 90.00
_cell_angle_beta 90.00
_cell_angle_gamma 90.00
loop_
_atom_site_label
_atom_site_fract_x
_atom_site_fract_y
_atom_site_fract_z
_atom_site_occupancy
Fe1 0.0000 0.0000 0.5000 1
Pb1 0.5000 0.5000 0.5000 1
O1 0.0000 0.0000 0.0000 1
```